No. 1
Na2H6Ir | PBE | relaxed

```
Na2H6Ir
1.0
0.000 3.601 3.601
3.601 0.000 3.601
3.601 3.601 0.000
Na H Ir
2 6 1
direct
0.750 0.750 0.750
0.250 0.250 0.250
0.234 0.766 0.766
0.234 0.234 0.766
0.234 0.766 0.234
0.766 0.234 0.234
0.766 0.766 0.234
0.766 0.234 0.766
0.000 0.000 0.000
```

Results
uncorrected energy	-3.62	eV per atom

***

No. 2
SnBH2 | PBE | relaxed

```
SnBH2
1.0
0.000 2.685 2.685
2.685 0.000 2.685
2.685 2.685 0.000
H B Sn
2 1 1
direct
0.250 0.250 0.250
0.750 0.750 0.750
0.000 0.000 0.000
0.500 0.500 0.500
```

Results
uncorrected energy	-3.08	eV per atom

***

No. 3
Pu2Zr2Sc7 | PBE | relaxed

```
Pu2Zr2Sc7
1.0
5.742 3.888 -0.190
-5.742 3.888 -0.190
0.000 1.637 6.040
Pu Zr Sc
2 2 7
direct
0.118 0.882 0.500
0.882 0.118 0.500
0.325 0.325 0.120
0.675 0.675 0.880
0.087 0.584 0.211
0.416 0.913 0.789
0.913 0.416 0.789
0.584 0.087 0.211
0.668 0.668 0.368
0.000 0.000 0.000
0.332 0.332 0.632
```

Results
E_form	357.9	meV/atom

***

No. 4
Dy8CuRh5 | PBE | relaxed

```
Dy8CuRh5
1.0
-3.534 -1.375 6.425
-2.018 -5.084 -5.074
7.375 -0.359 1.068
Dy Cu Rh
8 1 5
direct
0.122 0.752 0.002
0.998 0.120 0.750
0.740 0.248 0.370
0.630 0.370 0.878
0.508 0.630 0.260
0.630 0.880 0.878
0.250 0.248 0.370
0.122 0.752 0.492
0.250 0.500 0.750
0.007 0.377 0.124
0.876 0.883 0.253
0.747 0.623 0.630
0.500 0.000 0.500
0.370 0.117 0.993
```

Results
E_form	-674.9	meV/atom

***

No. 5
K3AsS4 | PBE | relaxed

```
K3AsS4
1.0
7.104 -0.109 -0.009
-3.593 6.129 0.009
-3.110 -2.220 5.990
K As S
3 1 4
direct
0.570 0.246 0.816
0.006 0.000 0.006
0.570 0.754 0.323
0.001 0.500 0.501
0.164 0.685 0.849
0.164 0.315 0.479
0.582 0.243 0.338
0.095 0.757 0.338
```

Results
E_form (uncorrected)	-593.5	kJ/mol of formula units

***

No. 6
K2LiRuBr6 | PBE | relaxed

```
K2LiRuBr6
1.0
-1.709 -6.516 3.068
-0.267 -6.103 -4.180
11.514 -6.315 1.931
K Li Ru Br
4 2 2 12
direct
0.876 0.876 0.372
0.124 0.124 0.628
0.699 0.699 0.904
0.301 0.301 0.096
0.581 0.581 0.258
0.419 0.419 0.742
0.000 0.000 0.000
0.500 0.500 0.500
0.862 0.377 0.383
0.377 0.862 0.383
0.377 0.377 0.383
0.138 0.623 0.617
0.623 0.138 0.617
0.623 0.623 0.617
0.719 0.200 0.882
0.200 0.719 0.882
0.200 0.200 0.882
0.281 0.800 0.118
0.800 0.281 0.118
0.800 0.800 0.118
```

Results
E_form (uncorrected)	-1034.0	kJ/mol of formula units

***

No. 7
PmH4Pt2 | PBE | relaxed

```
PmH4Pt2
1.0
5.326 0.000 0.000
2.663 4.209 0.000
2.663 0.000 4.209
Pm H Pt
1 4 2
direct
0.000 0.000 0.000
0.394 0.500 0.212
0.894 0.212 0.500
0.606 0.788 0.500
0.106 0.500 0.788
0.000 0.500 0.500
0.500 0.500 0.500
```

Results
uncorrected energy	-4.54	eV per atom

***

No. 8
DyPPd | PBE | relaxed

```
DyPPd
1.0
-0.220 -1.067 -3.867
5.981 -3.446 0.610
-3.898 -6.411 1.991
P Pd Dy
4 4 4
direct
0.250 0.748 0.378
0.250 0.248 0.122
0.750 0.252 0.622
0.750 0.752 0.878
0.250 0.851 0.061
0.250 0.351 0.439
0.750 0.649 0.561
0.750 0.149 0.939
0.750 0.530 0.188
0.250 0.970 0.688
0.750 0.030 0.312
0.250 0.470 0.812
```

Results
E_form	-1267.2	meV/atom

***

No. 9
W4BrCl | PBE | relaxed

```
W4BrCl
1.0
0.000 3.996 3.996
3.996 0.000 3.996
3.996 3.996 0.000
W Br Cl
4 1 1
direct
0.919 0.360 0.360
0.360 0.360 0.919
0.360 0.919 0.360
0.360 0.360 0.360
0.750 0.750 0.750
0.000 0.000 0.000
```

Results
E_form (uncorrected)	895.2	kJ/mol of formula units

***

No. 10
BaBiC | PBE | relaxed

```
BaBiC
1.0
4.661 0.000 0.000
-2.330 4.917 -0.377
0.000 -3.395 8.723
Ba Bi C
2 2 2
direct
0.082 0.165 0.811
0.918 0.835 0.189
0.331 0.663 0.459
0.669 0.337 0.541
0.568 0.135 0.008
0.432 0.865 0.992
```

Results
E_form	-210.9	meV/atom

***

No. 11
Nd2CdCl8 | PBE | relaxed

```
Nd2CdCl8
1.0
-0.852 -2.385 -3.076
-5.897 -3.447 4.305
-7.440 7.503 -1.176
Nd Cd Cl
2 1 8
direct
0.157 0.669 0.314
0.843 0.331 0.686
0.500 0.000 0.000
0.609 0.490 0.219
0.369 0.064 0.739
0.242 0.335 0.483
0.014 0.779 0.028
0.758 0.665 0.517
0.631 0.936 0.261
0.391 0.510 0.781
0.986 0.221 0.972
```

Results
E_form (uncorrected)	-2064.3	kJ/mol of formula units

***

No. 12
Ba2CoH6Au | PBE | relaxed

```
Ba2CoH6Au
1.0
5.729 0.000 0.000
0.000 5.729 0.000
2.864 2.864 4.048
Ba Co H Au
2 1 6 1
direct
0.750 0.250 0.500
0.250 0.750 0.500
0.000 0.000 0.000
0.195 0.195 0.610
0.805 0.805 0.001
0.195 0.805 0.000
0.805 0.195 0.000
0.195 0.195 0.999
0.805 0.805 0.390
0.500 0.500 0.000
```

Results
uncorrected energy	-3.86	eV per atom